SrCaNi3 after structural relaxation. Source: Alexandria via LeMat-Bulk, functional PBEsol.

Cell lengths 4.7383, 4.7383, 4.7383 Å; angles 90.00, 90.00, 90.00 degrees
Fractional coordinates of all 5 atoms:
1 Sr 0.0000 0.0000 0.0000
2 Ca 0.5000 0.5000 0.5000
3 Ni 0.0000 0.5000 0.5000
4 Ni 0.5000 0.0000 0.5000
5 Ni 0.5000 0.5000 0.0000

Computed properties:
Its density of states at the Fermi level is 2.69 states/eV/cell. The value obtained for the total energy is -3.57 eV per atom.

***

Sr3CaNi after structural relaxation. Source: Alexandria via LeMat-Bulk, functional PBEsol.

Cell lengths 5.8191, 5.8191, 5.8191 Å; angles 90.00, 90.00, 90.00 degrees
Fractional coordinates of all 5 atoms:
1 Sr 0.0000 0.0000 0.5000
2 Sr 0.0000 0.5000 0.0000
3 Sr 0.5000 0.0000 0.0000
4 Ca 0.5000 0.5000 0.5000
5 Ni 0.0000 0.0000 0.0000

Computed properties:
Its density of states at the Fermi level is 3.71 states/eV/cell. The value obtained for the total energy is -2.73 eV per atom.

***

Question: What is the formula in the second record?
Answer: Sr3CaNi

***

Question: Look up the density of states at the Fermi level of the first one.
Answer: 2.69 states/eV/cell